Below is Pr3AsS6 after structural relaxation, with properties calculated at the GGA-PBE level.

Output
formation energy without anion corrections = -1494 kJ/mol of formula units
final energy = -5.9238 eV per atom

Unit cell a=10.981 b=13.620 c=7.166 alpha=90.00 beta=90.00 gamma=90.00
Space group Cmc2_1 (No. 36)
Asymmetric unit:
Pr1 0.000 0.101 0.000
Pr2 0.187 0.399 0.069
As1 0.000 0.316 0.635
S1 0.000 0.279 0.212
S2 0.000 0.471 0.796
S3 0.161 0.241 0.782
S4 0.162 0.022 0.284

Below is Pr6AsS4 after structural relaxation, with properties calculated at the GGA-PBE level.

Output
formation energy without anion corrections = -1821 kJ/mol of formula units
final energy = -6.2463 eV per atom

Unit cell a=4.097 b=13.453 c=20.865 alpha=90.00 beta=90.00 gamma=90.00
Space group Cmcm (No. 63)
Asymmetric unit:
Pr1 0.000 0.000 0.000
Pr2 0.000 0.164 0.250
Pr3 0.000 0.276 0.589
Pr4 0.000 0.445 0.165
As1 0.000 0.172 0.750
S1 0.000 0.085 0.125
S2 0.000 0.359 0.039

Below is Pr8As4S3 after structural relaxation, with properties calculated at the GGA-PBE level.

Output
formation energy without anion corrections = -2336 kJ/mol of formula units
final energy = -6.2286 eV per atom

Unit cell a=11.888 b=11.907 c=8.401 alpha=90.00 beta=134.81 gamma=90.00
Space group C2/m (No. 12)
Asymmetric unit:
Pr1 0.000 0.249 0.000
Pr2 0.000 0.250 0.500
Pr3 0.246 0.000 0.495
Pr4 0.249 0.000 0.997
As1 0.000 0.000 0.000
As2 0.000 0.500 0.500
As3 0.250 0.250 0.000
S1 0.000 0.000 0.500
S2 0.250 0.250 0.500

Below is Pr3As5S12 after structural relaxation, with properties calculated at the GGA-PBE level.

Output
formation energy without anion corrections = -1392 kJ/mol of formula units
final energy = -5.0772 eV per atom

Unit cell a=15.771 b=15.771 c=15.771 alpha=90.00 beta=90.00 gamma=90.00
Space group Ia-3d (No. 230)
Asymmetric unit:
Pr1 0.000 0.250 0.125
As1 0.000 0.000 0.000
As2 0.000 0.250 0.375
S1 0.023 0.060 0.650

Below is Pr6AsS5 after structural relaxation, with properties calculated at the GGA-PBE level.

Output
formation energy without anion corrections = -2251 kJ/mol of formula units
final energy = -6.4414 eV per atom

Unit cell a=7.164 b=12.424 c=7.184 alpha=90.00 beta=109.35 gamma=90.00
Space group C2/m (No. 12)
Asymmetric unit:
Pr1 0.248 0.000 0.251
Pr2 0.248 0.167 0.747
As1 0.000 0.500 0.000
S1 0.000 0.000 0.500
S2 0.000 0.167 0.000
S3 0.000 0.335 0.500

Below is Pr4As3S after structural relaxation, with properties calculated at the GGA-PBE level.

Output
formation energy without anion corrections = -1284 kJ/mol of formula units
final energy = -6.3130 eV per atom

Unit cell a=8.526 b=12.050 c=4.268 alpha=90.00 beta=90.00 gamma=90.00
Space group Cmmm (No. 65)
Asymmetric unit:
Pr1 0.000 0.250 0.000
Pr2 0.250 0.000 0.500
As1 0.000 0.000 0.000
As2 0.250 0.250 0.500
S1 0.000 0.500 0.000

Below is Pr2AsS after structural relaxation, with properties calculated at the GGA-PBE level.

Output
distance to the lowest polymorph of the same formula = 113 meV per atom
formation energy without anion corrections = -647 kJ/mol of formula units
final energy = -6.2607 eV per atom

Unit cell a=4.1333 b=4.1333 c=21.8618 alpha=90.00 beta=90.00 gamma=120.00
Space group R3m (No. 160, hexagonal axes)
Asymmetric unit:
Pr1 0.0000 0.0000 0.0000
Pr2 0.0000 0.0000 0.1734
As1 0.0000 0.0000 0.5859
S1 0.0000 0.0000 0.7550

Below is PrAsS after structural relaxation, with properties calculated at the GGA-PBE level.

Output
formation energy without anion corrections = -429 kJ/mol of formula units
final energy = -6.0020 eV per atom

Unit cell a=7.309 b=3.908 c=9.870 alpha=90.00 beta=90.00 gamma=90.00
Space group Pnma (No. 62)
Asymmetric unit:
Pr1 0.199 0.250 0.158
As1 0.097 0.250 0.459
S1 0.096 0.250 0.840

Below is Pr3AsS2 after structural relaxation, with properties calculated at the GGA-PBE level.

Output
formation energy without anion corrections = -1084 kJ/mol of formula units
final energy = -6.4124 eV per atom

Unit cell a=4.178 b=5.906 c=12.546 alpha=90.00 beta=90.00 gamma=90.00
Space group Immm (No. 71)
Asymmetric unit:
Pr1 0.000 0.000 0.000
Pr2 0.000 0.000 0.332
As1 0.000 0.500 0.000
S1 0.000 0.500 0.334

Below is Pr2AsS after structural relaxation, with properties calculated at the GGA-PBE level.

Output
distance to the lowest polymorph of the same formula = 0 meV per atom
formation energy without anion corrections = -691 kJ/mol of formula units
final energy = -6.3741 eV per atom

Unit cell a=4.220 b=5.961 c=8.416 alpha=90.00 beta=90.00 gamma=90.00
Space group Pmmn (No. 59, origin choice 2)
Asymmetric unit:
Pr1 0.250 0.250 0.124
Pr2 0.250 0.250 0.626
As1 0.250 0.750 0.628
S1 0.250 0.750 0.123

Below is Pr2AsS6 after structural relaxation, with properties calculated at the GGA-PBE level.

Output
formation energy without anion corrections = -650 kJ/mol of formula units
final energy = -5.0791 eV per atom

Unit cell a=6.246 b=6.246 c=12.351 alpha=90.00 beta=90.00 gamma=90.00
Space group P4_2/mnm (No. 136)
Asymmetric unit:
Pr1 0.000 0.000 0.166
As1 0.000 0.000 0.500
S1 0.181 0.181 0.357
S2 0.227 0.227 0.000

Below is Pr4AsS2 after structural relaxation, with properties calculated at the GGA-PBE level.

Output
formation energy without anion corrections = -1043 kJ/mol of formula units
final energy = -6.1192 eV per atom

Unit cell a=4.106 b=13.522 c=13.726 alpha=90.00 beta=90.00 gamma=90.00
Space group Cmcm (No. 63)
Asymmetric unit:
Pr1 0.000 0.000 0.000
Pr2 0.000 0.275 0.121
Pr3 0.000 0.446 0.750
As1 0.000 0.106 0.750
S1 0.000 0.363 0.563

Below is Pr3As2S after structural relaxation, with properties calculated at the GGA-PBE level.

Output
formation energy without anion corrections = -989 kJ/mol of formula units
final energy = -6.3363 eV per atom

Unit cell a=4.255 b=6.013 c=12.704 alpha=90.00 beta=90.00 gamma=90.00
Space group Immm (No. 71)
Asymmetric unit:
Pr1 0.000 0.000 0.000
Pr2 0.000 0.000 0.334
As1 0.000 0.500 0.333
S1 0.000 0.500 0.000

Below is Pr2AsS after structural relaxation, with properties calculated at the GGA-PBE level.

Output
distance to the lowest polymorph of the same formula = 1 meV per atom
formation energy without anion corrections = -690 kJ/mol of formula units
final energy = -6.3726 eV per atom

Unit cell a=4.214 b=4.214 c=5.958 alpha=90.00 beta=90.00 gamma=90.00
Space group P4/mmm (No. 123)
Asymmetric unit:
Pr1 0.000 0.000 0.000
Pr2 0.500 0.500 0.500
As1 0.000 0.000 0.500
S1 0.500 0.500 0.000

Below is Pr2AsS4 after structural relaxation, with properties calculated at the GGA-PBE level.

Output
formation energy without anion corrections = -842 kJ/mol of formula units
final energy = -5.6345 eV per atom

Unit cell a=6.671 b=6.671 c=7.470 alpha=90.00 beta=90.00 gamma=90.00
Space group I4/mmm (No. 139)
Asymmetric unit:
Pr1 0.000 0.500 0.250
As1 0.000 0.000 0.000
S1 0.239 0.239 0.500

Below is PrAsS after structural relaxation, with properties calculated at the GGA-PBE level.

Output
formation energy without anion corrections = -454 kJ/mol of formula units
final energy = -6.0869 eV per atom

Unit cell a=17.702 b=3.947 c=4.016 alpha=90.00 beta=90.00 gamma=90.00
Space group Pnma (No. 62)
Asymmetric unit:
Pr1 0.146 0.250 0.232
As1 0.002 0.250 0.706
S1 0.186 0.750 0.735

Below is Pr6Sb3AsS2 after structural relaxation, with properties calculated at the GGA-PBE level.

Output
formation energy without anion corrections = -1741 kJ/mol of formula units
final energy = -5.9998 eV per atom

Unit cell a=7.567 b=13.115 c=7.586 alpha=90.00 beta=109.41 gamma=90.00
Space group C2/m (No. 12)
Asymmetric unit:
Pr1 0.243 0.000 0.231
Pr2 0.244 0.333 0.233
Sb1 0.000 0.000 0.500
Sb2 0.000 0.334 0.500
As1 0.000 0.500 0.000
S1 0.000 0.167 0.000

Below is Pr4Sb2AsS after structural relaxation, with properties calculated at the GGA-PBE level.

Output
formation energy without anion corrections = -1132 kJ/mol of formula units
final energy = -5.9834 eV per atom

Unit cell a=7.581 b=4.386 c=7.625 alpha=90.00 beta=109.36 gamma=90.00
Space group P2/m (No. 10)
Asymmetric unit:
Pr1 0.244 0.000 0.233
Pr2 0.255 0.500 0.767
Sb1 0.000 0.000 0.500
Sb2 0.500 0.500 0.500
As1 0.500 0.000 0.000
S1 0.000 0.500 0.000